No. 1
Computed, not measured: a geometry-optimized LaCdSiAs2 structure at the GGA-PBE level of DFT.

The structure belongs to space group P4/mmm (No. 123); the cell edges are 5.229, 5.229 and 4.834 Å and the angles 90.00°, 90.00° and 90.00°. The distinct sites, in fractional coordinates, are La at (0.000, 0.000, 0.000), Cd at (0.500, 0.500, 0.500), Si at (0.500, 0.500, 0.000) and As at (0.000, 0.500, 0.500).

As for the total moment: 0.00 μB/f.u. The raw total energy is -19.626 eV/cell. The value obtained for the uncorrected formation energy is 188 meV per atom. The calculation puts the density of states at the Fermi level at 0.6263 states/eV per atom.


No. 2
Computed, not measured: a geometry-optimized Cs3Na2Hg structure at the GGA-PBE level of DFT.

The structure belongs to space group C2/c (No. 15); the cell edges are 13.080, 12.554 and 10.482 Å and the angles 90.00°, 109.16° and 90.00°. The distinct sites, in fractional coordinates, are Cs at (0.000, 0.111, 0.250), Cs at (0.169, 0.423, 0.975), Na at (0.182, 0.234, 0.625) and Hg at (0.000, 0.187, 0.750).

As for the total moment: 0.00 μB/f.u. The raw total energy is -23.126 eV/cell. As for the formation energy: -27.1 kJ/mol of formula units. The calculation puts the density of states at the Fermi level at 0.7063 states/eV per atom.


No. 3
Computed, not measured: a geometry-optimized Nd4Pd2O structure at the GGA-PBE level of DFT.

The structure belongs to space group I4/mmm (No. 139); the cell edges are 4.843, 4.843 and 14.886 Å and the angles 90.00°, 90.00° and 90.00°. The distinct sites, in fractional coordinates, are Nd at (0.000, 0.000, 0.185), Nd at (0.000, 0.500, 0.000), Pd at (0.000, 0.000, 0.372) and O at (0.000, 0.000, 0.000).

As for the total moment: 0.00 μB/f.u. The raw total energy is -85.165 eV/cell. The value obtained for the uncorrected formation energy is -1167 meV per atom. The calculation puts the density of states at the Fermi level at 0.9179 states/eV per atom.


No. 4
Computed, not measured: a geometry-optimized LaZnRe2 structure at the GGA-PBE level of DFT.

The structure belongs to space group I-4m2 (No. 119); the cell edges are 4.726, 4.726 and 6.635 Å and the angles 90.00°, 90.00° and 90.00°. The distinct sites, in fractional coordinates, are La at (0.000, 0.000, 0.000), Zn at (0.000, 0.500, 0.250), Re at (0.000, 0.000, 0.500) and Re at (0.000, 0.500, 0.750).

As for the total moment: 0.00 μB/f.u. The raw total energy is -57.711 eV/cell. As for the formation energy: 216.3 kJ/mol of formula units. The calculation puts the density of states at the Fermi level at 0.8023 states/eV per atom.


No. 5
Computed, not measured: a geometry-optimized Tb3Fe structure at the GGA-PBE level of DFT.

The structure belongs to space group Pmm2 (No. 25); the cell edges are 3.354, 3.589 and 9.106 Å and the angles 90.00°, 90.00° and 90.00°. The distinct sites, in fractional coordinates, are Tb at (0.000, 0.000, 0.000), Tb at (0.000, 0.500, 0.341), Tb at (0.500, 0.500, 0.712) and Fe at (0.500, 0.000, 0.493).

As for the total moment: 1.23 μB/f.u. The raw total energy is -21.068 eV/cell. As for the formation energy: 124.1 kJ/mol of formula units. The calculation puts the density of states at the Fermi level at 1.5214 states/eV per atom.


No. 6
Computed, not measured: a geometry-optimized HfScInTc2 structure at the GGA-PBE level of DFT.

The structure belongs to space group P4/mmm (No. 123); the cell edges are 4.571, 4.571 and 5.079 Å and the angles 90.00°, 90.00° and 90.00°. The distinct sites, in fractional coordinates, are Hf at (0.000, 0.000, 0.000), Sc at (0.500, 0.500, 0.500), In at (0.500, 0.500, 0.000) and Tc at (0.000, 0.500, 0.500).

As for the total moment: 0.96 μB/f.u. The raw total energy is -33.561 eV/cell. As for the formation energy: 597.7 kJ/mol of formula units. The calculation puts the density of states at the Fermi level at 1.1701 states/eV per atom.


No. 7
Computed, not measured: a geometry-optimized TcMoS2N structure at the GGA-PBE level of DFT.

The structure belongs to space group P4/mmm (No. 123); the cell edges are 4.828, 4.828 and 3.781 Å and the angles 90.00°, 90.00° and 90.00°. The distinct sites, in fractional coordinates, are Tc at (0.000, 0.000, 0.000), Mo at (0.500, 0.500, 0.500), S at (0.000, 0.500, 0.500) and N at (0.500, 0.500, 0.000).

For the excess energy over the best structure of this formula in the dataset, the calculation gives 0.000 eV per atom. As for the total moment: 4.46 μB/f.u. The raw total energy is -34.555 eV/cell. The value obtained for the uncorrected formation energy is 644 meV per atom. The calculation puts the density of states at the Fermi level at 0.4043 states/eV per atom.


No. 8
Computed, not measured: a geometry-optimized NpSnIr structure at the GGA-PBE level of DFT.

The structure belongs to space group P-62m (No. 189); the cell edges are 7.3983, 7.3983 and 4.0265 Å and the angles 90.00°, 90.00° and 120.00°. The distinct sites, in fractional coordinates, are Np at (0.0000, 0.5864, 0.0000), Sn at (0.0000, 0.2545, 0.5000), Ir at (0.0000, 0.0000, 0.0000) and Ir at (0.3333, 0.6667, 0.5000).

As for the total moment: 3.41 μB/f.u. The raw total energy is -80.918 eV/cell. As for the formation energy: -112.7 kJ/mol of formula units. The calculation puts the density of states at the Fermi level at 2.6816 states/eV per atom.


No. 9
Computed, not measured: a geometry-optimized KNdRe2O8 structure at the GGA-PBE level of DFT.

The structure belongs to space group P-3m1 (No. 164); the cell edges are 6.1112, 6.1112 and 7.6987 Å and the angles 90.00°, 90.00° and 120.00°. The distinct sites, in fractional coordinates, are K at (0.0000, 0.0000, 0.0000), Nd at (0.0000, 0.0000, 0.5000), Re at (0.3333, 0.6667, 0.7747), O at (0.1728, 0.3456, 0.6932) and O at (0.3333, 0.6667, 0.0037).

As for the total moment: 2.00 μB/f.u. The raw total energy is -94.047 eV/cell. The value obtained for the uncorrected formation energy is -1968 meV per atom. The calculation puts the density of states at the Fermi level at 0.5402 states/eV per atom.


No. 10
Computed, not measured: a geometry-optimized Te2PAuI structure at the GGA-PBE level of DFT.

The structure belongs to space group P4/mmm (No. 123); the cell edges are 5.507, 5.507 and 5.469 Å and the angles 90.00°, 90.00° and 90.00°. The distinct sites, in fractional coordinates, are Te at (0.000, 0.500, 0.000), P at (0.000, 0.000, 0.500), Au at (0.500, 0.500, 0.000) and I at (0.500, 0.500, 0.500).

For the excess energy over the best structure of this formula in the dataset, the calculation gives 0.230 eV per atom. As for the total moment: 0.86 μB/f.u. The raw total energy is -11.940 eV/cell. The value obtained for the uncorrected formation energy is 916 meV per atom. The calculation puts the density of states at the Fermi level at 1.0086 states/eV per atom.


No. 11
Computed, not measured: a geometry-optimized Ni2Te6Pd structure at the GGA-PBE level of DFT.

The structure belongs to space group P-31m (No. 162); the cell edges are 6.8633, 6.8633 and 5.2730 Å and the angles 90.00°, 90.00° and 120.00°. The distinct sites, in fractional coordinates, are Ni at (0.3333, 0.6667, 0.0000), Te at (0.0000, 0.3464, 0.2520) and Pd at (0.0000, 0.0000, 0.0000).

For the excess energy over the best structure of this formula in the dataset, the calculation gives 0.000 eV per atom. As for the total moment: 0.00 μB/f.u. The raw total energy is -37.909 eV/cell. The value obtained for the uncorrected formation energy is -256 meV per atom. The calculation puts the density of states at the Fermi level at 0.4224 states/eV per atom.


No. 12
Computed, not measured: a geometry-optimized Sm2P3PdPt4 structure at the GGA-PBE level of DFT.

The structure belongs to space group P-4m2 (No. 115); the cell edges are 4.188, 4.188 and 10.274 Å and the angles 90.00°, 90.00° and 90.00°. The distinct sites, in fractional coordinates, are Sm at (0.000, 0.500, 0.249), P at (0.000, 0.500, 0.872), P at (0.500, 0.500, 0.500), Pd at (0.000, 0.000, 0.500), Pt at (0.000, 0.000, 0.000), Pt at (0.000, 0.500, 0.652) and Pt at (0.500, 0.500, 0.000).

As for the total moment: 0.00 μB/f.u. The raw total energy is -63.703 eV/cell. As for the formation energy: -837.4 kJ/mol of formula units. The calculation puts the density of states at the Fermi level at 0.5288 states/eV per atom.